ZrGeAs2: optimized geometry, PBEsol.

The space group is I-42d (No. 122) and the conventional cell measures 5.999, 5.999 and 11.787 Å, with angles of 90.00, 90.00 and 90.00 degrees. Symmetry generates all atoms from Zr at (0.000, 0.000, 0.000), Ge at (0.000, 0.000, 0.500) and As at (0.244, 0.250, 0.625).

For the calculated volume, the calculation gives 106.1 Å³/f.u. Its total magnetization is 0.0 μB per formula unit. As for the crystal system: tetragonal. For the total energy, the calculation gives -6.160 eV per atom. For the density of states at the Fermi level, the calculation gives 0.264 states/eV per atom.

=====

Hf3AsH: optimized geometry, PBEsol.

The space group is Pm-3m (No. 221) and the conventional cell measures 4.258, 4.258 and 4.258 Å, with angles of 90.00, 90.00 and 90.00 degrees. Symmetry generates all atoms from Hf at (0.000, 0.000, 0.500), As at (0.500, 0.500, 0.500) and H at (0.000, 0.000, 0.000).

For the calculated volume, the calculation gives 77.2 Å³/f.u. Its total magnetization is 0.0 μB per formula unit. As for the crystal system: cubic. For the total energy, the calculation gives -8.358 eV per atom. For the density of states at the Fermi level, the calculation gives 0.733 states/eV per atom.

=====

ZnHgAsHO5: optimized geometry, PBEsol.

The space group is Pnma (No. 62) and the conventional cell measures 7.597, 6.281 and 8.722 Å, with angles of 90.00, 90.00 and 90.00 degrees. Symmetry generates all atoms from Zn at (0.000, 0.000, 0.000), Hg at (0.118, 0.250, 0.324), As at (0.138, 0.250, 0.679), H at (0.233, 0.750, 0.539), O at (0.024, 0.750, 0.462), O at (0.126, 0.021, 0.785), O at (0.143, 0.250, 0.079) and O at (0.172, 0.750, 0.069).

For the calculated volume, the calculation gives 104.0 Å³/f.u. Its total magnetization is 0.0 μB per formula unit. As for the crystal system: orthorhombic. For the total energy, the calculation gives -5.164 eV per atom.

=====

As3HI: optimized geometry, PBEsol.

The space group is Pm-3m (No. 221) and the conventional cell measures 4.447, 4.447 and 4.447 Å, with angles of 90.00, 90.00 and 90.00 degrees. Symmetry generates all atoms from As at (0.000, 0.000, 0.500), H at (0.000, 0.000, 0.000) and I at (0.500, 0.500, 0.500).

For the calculated volume, the calculation gives 87.9 Å³/f.u. Its total magnetization is 0.0 μB per formula unit. As for the crystal system: cubic. For the total energy, the calculation gives -3.302 eV per atom. For the density of states at the Fermi level, the calculation gives 0.542 states/eV per atom.

=====

AsH2OsI: optimized geometry, PBEsol.

The space group is P4/mmm (No. 123) and the conventional cell measures 3.663, 3.663 and 5.921 Å, with angles of 90.00, 90.00 and 90.00 degrees. Symmetry generates all atoms from As at (0.000, 0.000, 0.000), H at (0.000, 0.500, 0.000), Os at (0.500, 0.500, 0.500) and I at (0.000, 0.000, 0.500).

For the calculated volume, the calculation gives 79.4 Å³/f.u. Its total magnetization is 0.5 μB per formula unit. As for the crystal system: tetragonal. For the total energy, the calculation gives -3.886 eV per atom. For the density of states at the Fermi level, the calculation gives 0.862 states/eV per atom.

=====

InAsHSe2: optimized geometry, PBEsol.

The space group is P4/mmm (No. 123) and the conventional cell measures 5.261, 5.261 and 5.245 Å, with angles of 90.00, 90.00 and 90.00 degrees. Symmetry generates all atoms from In at (0.000, 0.000, 0.000), As at (0.000, 0.000, 0.500), H at (0.500, 0.500, 0.500) and Se at (0.000, 0.500, 0.000).

For the calculated volume, the calculation gives 145.2 Å³/f.u. Its total magnetization is 1.9 μB per formula unit. As for the crystal system: tetragonal. For the total energy, the calculation gives -2.704 eV per atom. For the density of states at the Fermi level, the calculation gives 1.131 states/eV per atom.

=====

AsHIr2: optimized geometry, PBEsol.

The space group is Fm-3m (No. 225) and the conventional cell measures 5.760, 5.760 and 5.760 Å, with angles of 90.00, 90.00 and 90.00 degrees. Symmetry generates all atoms from As at (0.000, 0.000, 0.000), H at (0.000, 0.000, 0.500) and Ir at (0.250, 0.250, 0.250).

For the calculated volume, the calculation gives 47.8 Å³/f.u. Its total magnetization is 0.0 μB per formula unit. As for the crystal system: cubic. For the total energy, the calculation gives -6.682 eV per atom. For the density of states at the Fermi level, the calculation gives 0.174 states/eV per atom.

=====

As2HIr: optimized geometry, PBEsol.

The space group is I-42d (No. 122) and the conventional cell measures 5.103, 5.103 and 9.742 Å, with angles of 90.00, 90.00 and 90.00 degrees. Symmetry generates all atoms from As at (0.194, 0.250, 0.125), H at (0.000, 0.000, 0.000) and Ir at (0.000, 0.000, 0.500).

For the calculated volume, the calculation gives 63.4 Å³/f.u. Its total magnetization is 0.0 μB per formula unit. As for the crystal system: tetragonal. For the total energy, the calculation gives -5.488 eV per atom. For the density of states at the Fermi level, the calculation gives 0.390 states/eV per atom.

=====

AsH3Ir: optimized geometry, PBEsol.

The space group is Pm-3m (No. 221) and the conventional cell measures 3.533, 3.533 and 3.533 Å, with angles of 90.00, 90.00 and 90.00 degrees. Symmetry generates all atoms from As at (0.000, 0.000, 0.000), H at (0.000, 0.000, 0.500) and Ir at (0.500, 0.500, 0.500).

For the calculated volume, the calculation gives 44.1 Å³/f.u. Its total magnetization is 0.0 μB per formula unit. As for the crystal system: cubic. For the total energy, the calculation gives -3.739 eV per atom. For the density of states at the Fermi level, the calculation gives 0.720 states/eV per atom.

=====

AsH2IrS: optimized geometry, PBEsol.

The space group is P4/mmm (No. 123) and the conventional cell measures 3.437, 3.437 and 5.090 Å, with angles of 90.00, 90.00 and 90.00 degrees. Symmetry generates all atoms from As at (0.000, 0.000, 0.000), H at (0.000, 0.500, 0.500), Ir at (0.500, 0.500, 0.000) and S at (0.500, 0.500, 0.500).

For the calculated volume, the calculation gives 60.1 Å³/f.u. Its total magnetization is 0.0 μB per formula unit. As for the crystal system: tetragonal. For the total energy, the calculation gives -4.874 eV per atom. For the density of states at the Fermi level, the calculation gives 0.423 states/eV per atom.

=====

TiAs2HIr: optimized geometry, PBEsol.

The space group is P4/mmm (No. 123) and the conventional cell measures 4.775, 4.775 and 4.551 Å, with angles of 90.00, 90.00 and 90.00 degrees. Symmetry generates all atoms from Ti at (0.000, 0.000, 0.000), As at (0.000, 0.500, 0.000), H at (0.500, 0.500, 0.500) and Ir at (0.000, 0.000, 0.500).

For the calculated volume, the calculation gives 103.8 Å³/f.u. Its total magnetization is 0.7 μB per formula unit. As for the crystal system: tetragonal. For the total energy, the calculation gives -5.144 eV per atom. For the density of states at the Fermi level, the calculation gives 0.665 states/eV per atom.

=====

K2AsH: optimized geometry, PBEsol.

The space group is I-42d (No. 122) and the conventional cell measures 7.874, 7.874 and 7.462 Å, with angles of 90.00, 90.00 and 90.00 degrees. Symmetry generates all atoms from K at (0.174, 0.750, 0.125), As at (0.000, 0.000, 0.500) and H at (0.000, 0.000, 0.000).

For the calculated volume, the calculation gives 115.6 Å³/f.u. Its total magnetization is 2.0 μB per formula unit. As for the crystal system: tetragonal. For the total energy, the calculation gives -2.468 eV per atom. For the density of states at the Fermi level, the calculation gives 0.394 states/eV per atom.